Record 1
Material: Be2PW
Method: DFT, PBE
State: relaxed

Structure (POSCAR):
```
Be2PW
1.0
6.398 0.000 0.000
0.000 6.398 0.000
3.199 3.199 2.374
P W Be
2 2 4
Cartesian
3.199 3.199 0.000
3.199 6.398 1.187
0.000 0.000 0.000
6.398 3.199 1.187
4.512 1.599 0.593
1.886 4.798 0.593
4.798 5.084 1.780
7.997 7.711 1.780
```

Computed properties:
The raw total energy is -6.074 eV/atom. The formation energy comes out at 0.380 eV/atom. The calculation puts the density of states at the Fermi level at 3.68 states/eV/cell.


Record 2
Material: BePW2
Method: DFT, PBE
State: relaxed

Structure (POSCAR):
```
BePW2
1.0
-2.384 4.110 -0.738
-0.681 1.110 -4.629
-0.855 -3.523 3.159
P W Be
1 2 1
Cartesian
-2.361 1.557 -0.088
-3.030 5.161 -5.306
-1.552 0.129 -2.107
-1.574 2.681 -2.757
```

Computed properties:
The raw total energy is -8.624 eV/atom. The formation energy comes out at 0.137 eV/atom. The calculation puts the density of states at the Fermi level at 2.15 states/eV/cell. The value obtained for the energy above the lowest structure with this stoichiometry is 0.233 eV/atom.


Record 3
Material: BePW2
Method: DFT, PBE
State: relaxed

Structure (POSCAR):
```
BePW2
1.0
-3.294 0.214 2.710
-1.117 -3.435 2.280
0.693 -0.084 4.214
P W Be
1 2 1
Cartesian
-2.789 -2.479 6.903
0.000 0.000 0.000
-0.930 -0.826 2.301
-1.859 -1.653 4.602
```

Computed properties:
The raw total energy is -8.332 eV/atom. The formation energy comes out at 0.429 eV/atom. The calculation puts the density of states at the Fermi level at 1.35 states/eV/cell. The value obtained for the energy above the lowest structure with this stoichiometry is 0.526 eV/atom.


Record 4
Material: Be2PW
Method: DFT, PBE
State: relaxed

Structure (POSCAR):
```
Be2PW
1.0
-1.959 -1.678 0.266
1.025 -0.060 2.381
-4.507 5.590 2.081
P W Be
1 1 2
Cartesian
-2.182 2.707 1.007
-3.946 3.446 2.930
-0.105 0.130 0.048
-1.462 0.365 1.783
```

Computed properties:
The raw total energy is -5.966 eV/atom. The formation energy comes out at 0.488 eV/atom. The calculation puts the density of states at the Fermi level at 1.93 states/eV/cell.


Record 5
Material: Y2BeP
Method: DFT, PBE
State: relaxed

Structure (POSCAR):
```
Y2BeP
1.0
7.309 0.000 0.000
0.000 7.309 0.000
3.655 3.655 3.517
Y P Be
4 2 2
Cartesian
5.504 1.827 0.879
1.805 5.482 0.879
5.482 5.460 2.638
9.136 9.158 2.638
0.000 0.000 0.000
7.309 3.655 1.759
3.655 3.655 0.000
3.655 7.309 1.759
```

Computed properties:
The raw total energy is -5.780 eV/atom. The formation energy comes out at -0.264 eV/atom. The calculation puts the density of states at the Fermi level at 3.67 states/eV/cell. The value obtained for the energy above the lowest structure with this stoichiometry is 0.323 eV/atom.


Record 6
Material: Y2BeP
Method: DFT, PBE
State: relaxed

Structure (POSCAR):
```
Y2BeP
1.0
-2.375 -3.055 -2.925
-4.842 -0.243 0.163
-2.640 1.728 -3.684
Y P Be
2 1 1
Cartesian
-2.464 -0.392 -1.611
-7.393 -1.177 -4.834
-4.928 -0.785 -3.223
0.000 0.000 0.000
```

Computed properties:
The raw total energy is -5.879 eV/atom. The formation energy comes out at -0.363 eV/atom. The calculation puts the density of states at the Fermi level at 5.88 states/eV/cell. The value obtained for the energy above the lowest structure with this stoichiometry is 0.224 eV/atom.